# 1
Below is an optimized crystal structure of Ba6Bi3H2, with properties calculated at the PBE-GGA level.

Calculated total energy = -3.478 eV per atom

a b c (Å): 5.471 5.471 14.701
angles (deg): 100.72 100.72 90.00
Fractional positions:
Ba: 0.081 0.581 0.163
Ba: 0.581 0.081 0.163
Ba: 0.919 0.419 0.837
Ba: 0.419 0.919 0.837
Ba: 0.701 0.701 0.402
Ba: 0.299 0.299 0.598
Bi: 0.000 0.000 0.000
Bi: 0.827 0.827 0.655
Bi: 0.173 0.173 0.345
H: 0.400 0.400 0.800
H: 0.600 0.600 0.200

***

# 2
Below is an optimized crystal structure of CuTc2Br, with properties calculated at the PBE-GGA level.

E above lowest polymorph = 581 meV/atom

a b c (Å): 2.917 4.595 4.636
angles (deg): 90.00 90.00 90.00
Fractional positions:
Br: 0.500 0.000 0.500
Cu: 0.000 0.500 0.500
Tc: 0.000 0.000 0.000
Tc: 0.500 0.500 0.000

***

# 3
Below is an optimized crystal structure of SrBeNi2, with properties calculated at the PBE-GGA level.

ΔE_f = -143 meV/atom
E above lowest polymorph = 0 meV/atom

a b c (Å): 3.934 3.934 5.734
angles (deg): 69.82 69.82 59.99
Fractional positions:
Sr: 0.750 0.750 0.750
Be: 0.250 0.250 0.250
Ni: 0.938 0.938 0.187
Ni: 0.562 0.562 0.313

***

# 4
Below is an optimized crystal structure of UNbOs4, with properties calculated at the PBE-GGA level.

ΔE_f = 35 meV/atom

a b c (Å): 5.259 5.259 5.259
angles (deg): 60.00 60.00 60.00
Last column: magnetic moment on the atom in μB.
Fractional positions:
Os: 0.625 0.625 0.124  0.03
Os: 0.625 0.124 0.625  0.03
Os: 0.625 0.625 0.625  0.03
Os: 0.124 0.625 0.625  0.03
Nb: 0.000 0.000 0.000  0.21
U: 0.250 0.250 0.250  1.49

***

# 5
Below is an optimized crystal structure of LaTlAsSe2, with properties calculated at the PBE-GGA level.

E above lowest polymorph = 120 meV/atom

a b c (Å): 5.335 5.335 5.225
angles (deg): 90.00 90.00 90.00
Fractional positions:
Tl: 0.000 0.000 0.000
As: 0.000 0.000 0.500
Se: 0.000 0.500 0.000
Se: 0.500 0.000 0.000
La: 0.500 0.500 0.500

***

# 6
Below is an optimized crystal structure of Li5Pt4, with properties calculated at the PBE-GGA level.

ΔE_f = -373 meV/atom
E above lowest polymorph = 30 meV/atom

a b c (Å): 5.972 5.972 5.972
angles (deg): 96.47 96.47 140.78
Fractional positions:
Li: 0.000 0.000 0.000
Li: 0.326 0.326 0.652
Li: 0.326 0.674 0.000
Li: 0.674 0.326 0.000
Li: 0.674 0.674 0.348
Pt: 0.000 0.326 0.326
Pt: 0.000 0.674 0.674
Pt: 0.326 0.000 0.326
Pt: 0.674 0.000 0.674

***

# 7
Below is an optimized crystal structure of BeSeBr2, with properties calculated at the PBE-GGA level.

E above lowest polymorph = 889 meV/atom

a b c (Å): 7.501 7.501 7.501
angles (deg): 150.73 150.73 41.87
Fractional positions:
Be: 0.750 0.250 0.500
Se: 0.500 0.500 0.000
Br: 0.000 0.000 0.000
Br: 0.250 0.750 0.500

***

# 8
Below is an optimized crystal structure of Ho3Er2Al2, with properties calculated at the PBE-GGA level.

ΔE_f = -205 meV/atom
E above lowest polymorph = 0 meV/atom

a b c (Å): 5.232 5.232 8.312
angles (deg): 108.36 89.97 120.02
Fractional positions:
Ho: 0.500 0.000 0.000
Ho: 0.653 0.306 0.459
Ho: 0.347 0.694 0.541
Er: 0.918 0.837 0.256
Er: 0.082 0.163 0.744
Al: 0.783 0.565 0.847
Al: 0.217 0.435 0.153

***

no.,Fermi-level density of states (states/eV/f.u.)
1,4.06
2,4.02
3,2.18
4,10.89
5,3.19
6,4.24
7,1.85
8,4.06